Compound: GaFeNiHg
Source: OQMD
Functional: GGA-PBE
Structure: relaxed Values from VASP.

symmetry = F-43m (216)
ρ = 10.763 Mg/m³
crystal system = cubic
distance to the lowest polymorph of the same formula = 0.341 eV/f.u.

Quantum ESPRESSO input file:
```
&SYSTEM
  ibrav = 0, nat = 4, ntyp = 4
/
ATOMIC_SPECIES
Ni 58.69 Ni.upf
Hg 200.59 Hg.upf
Ga 69.72 Ga.upf
Fe 55.84 Fe.upf
CELL_PARAMETERS angstrom
1.234 -3.725 -1.945
-2.988 -2.561 -1.922
-0.116 -0.334 -4.365
ATOMIC_POSITIONS angstrom
Ni -0.935 -3.309 -4.115
Hg -0.467 -1.655 -2.058
Ga 0.000 0.000 0.000
Fe -1.402 -4.964 -6.173
```